4
Lattice="-3.5086 -1.7244 2.6622 -4.2543 2.0659 -0.0670 -3.6609 -2.1906 -2.0421" Properties=species:S:1:pos:R:3 comment="Zr2AsP PBE relaxed" dos_ef_per_ev_cell=2.8 e_form_ev_per_atom=-0.107 sg="F-43m (216)" pbc="T T T"
Zr 0.0000 0.0000 0.0000
Zr -8.5678 -1.3868 0.4148
As -5.7119 -0.9246 0.2765
P -2.8559 -0.4623 0.1383

4
Lattice="-3.7869 1.5589 -3.0479 -2.7025 -1.6164 -4.0180 -3.1270 -1.9408 2.8574" Properties=species:S:1:pos:R:3 comment="ZrAs2P PBE relaxed" dos_ef_per_ev_cell=1.9 e_form_ev_per_atom=-0.322 sg="Cm (8)" pbc="T T T"
As -6.5234 -0.1746 -6.7211
As -7.1026 -1.4894 -3.0647
P -4.8026 -0.8640 -2.5406
Zr -2.4851 -0.5272 -1.0523